No. 1
The following is a DFT calculation (PBE-GGA) of an optimized crystal structure of SmHoTm3Sc.

Output
Mass density   8050 kg/m³
Size of the total moment   0.00 μB/f.u.
Formation energy   39 meV per atom
Volume   715.4 Å³ per cell

Cell lengths 4.920, 14.759, 9.853 Å; angles 90.00, 90.00, 90.00 degrees
Space group Cmcm (No. 63)
Asymmetric unit:
Sm 0.000 0.002 0.250
Ho 0.000 0.500 0.000
Tm 0.000 0.168 0.000
Tm 0.000 0.330 0.250
Sc 0.000 0.332 0.750

***

No. 2
The following is a DFT calculation (PBE-GGA) of an optimized crystal structure of Sm6Ho3TmSc2.

Output
Mass density   7407 kg/m³
Size of the total moment   0.00 μB/f.u.
Formation energy   35 meV per atom
Volume   742.4 Å³ per cell

Cell lengths 6.138, 10.624, 11.567 Å; angles 90.00, 100.15, 90.00 degrees
Space group C2/m (No. 12)
Asymmetric unit:
Sm 0.246 0.000 0.244
Sm 0.250 0.168 0.756
Ho 0.000 0.000 0.500
Ho 0.000 0.333 0.500
Tm 0.000 0.500 0.000
Sc 0.000 0.167 0.000

***

No. 3
The following is a DFT calculation (PBE-GGA) of an optimized crystal structure of SmHoTm5Sc2.

Output
Mass density   7644 kg/m³
Size of the total moment   0.00 μB/f.u.
Formation energy   172 meV per atom
Volume   1086.0 Å³ per cell

Cell lengths 5.535, 21.228, 9.243 Å; angles 90.00, 90.00, 90.00 degrees
Space group Cmc2_1 (No. 36)
Asymmetric unit:
Sm 0.000 0.186 0.000
Ho 0.000 0.403 0.599
Tm 0.000 0.009 0.000
Tm 0.000 0.265 0.682
Tm 0.000 0.308 0.298
Tm 0.000 0.392 0.972
Tm 0.000 0.469 0.270
Sc 0.000 0.113 0.694
Sc 0.000 0.139 0.321